CsLi2Al2 | PBE-GGA | optimized geometry

Lattice parameters (Å, degrees): 5.3553 5.3553 10.1589 90.00 90.00 90.00
Space group I4/mmm (No. 139)
One atom of each set of equivalent atoms:
Cs 0.0000 0.0000 0.0000 (multiplicity 2)
Li 0.0000 0.5000 0.2500 (multiplicity 4)
Al 0.0000 0.0000 0.3680 (multiplicity 4)

## Properties
magnetic moment: 0.00 μB per formula unit
V: 291.3 Å³/cell
relative energy among the computed polymorphs: 90 meV per atom
formation enthalpy at 0 K: 25.7 kJ/mol of atoms
uncorrected energy: -2.167 eV/atom